Material: BeBr
Method: DFT, PBE
State: optimized geometry

Computed properties:
The raw formation energy is 0.0525 eV per atom. The energy above the lowest structure with this stoichiometry comes out at 457 meV/atom. As for the total energy: -2.647 eV per atom.

a = 6.6409 Å, b = 6.6409 Å, c = 6.6409 Å
α = 109.47°, β = 109.47°, γ = 109.47°
Atoms (fractional coordinates):
Be 0.0000 0.0000 0.7916
Be 0.0000 0.7916 0.0000
Be 0.2084 0.2084 0.2084
Be 0.7916 0.0000 0.0000
Br 0.0000 0.0000 0.4814
Br 0.0000 0.4814 0.0000
Br 0.4814 0.0000 0.0000
Br 0.5186 0.5186 0.5186